# CaSi2Ag (PBE, optimized geometry)
data_CaSi2Ag
_chemical_formula_sum 'Ca2 Si4 Ag2'
_cell_length_a 4.218
_cell_length_b 4.218
_cell_length_c 8.665
_cell_angle_alpha 90.00
_cell_angle_beta 90.00
_cell_angle_gamma 90.00
_symmetry_space_group_name_H-M 'I -4 m 2'
_symmetry_Int_Tables_number 119
_symmetry_space_group_name_Hall 'I -4 -2'
loop_
_atom_site_label
_atom_site_type_symbol
_atom_site_fract_x
_atom_site_fract_y
_atom_site_fract_z
_atom_site_occupancy
Ca1 Ca 0.000 0.000 0.000 1
Si1 Si 0.000 0.000 0.500 1
Si2 Si 0.000 0.500 0.750 1
Ag1 Ag 0.000 0.500 0.250 1
# calculated volume = 19.27 A^3/atom
# Fermi-level density of states = 2.22 states/eV per cell
# DFT total energy = -30.9 eV/cell



# CaSi2Ag (PBE, optimized geometry)
data_CaSi2Ag
_chemical_formula_sum 'Ca1 Si2 Ag1'
_cell_length_a 4.218
_cell_length_b 4.218
_cell_length_c 4.248
_cell_angle_alpha 90.00
_cell_angle_beta 90.00
_cell_angle_gamma 90.00
_symmetry_space_group_name_H-M 'P 4/m m m'
_symmetry_Int_Tables_number 123
_symmetry_space_group_name_Hall '-P 4 2'
loop_
_atom_site_label
_atom_site_type_symbol
_atom_site_fract_x
_atom_site_fract_y
_atom_site_fract_z
_atom_site_occupancy
Ca1 Ca 0.000 0.000 0.000 1
Si1 Si 0.000 0.500 0.500 1
Ag1 Ag 0.500 0.500 0.000 1
# calculated volume = 18.90 A^3/atom
# Fermi-level density of states = 2.05 states/eV per cell
# DFT total energy = -15.7 eV/cell